*i*
The following is a DFT calculation (PBE-GGA) of a relaxed structure of TcCl5.

Unit cell a=6.607 b=6.671 c=6.671 alpha=29.99 beta=90.00 gamma=90.00
Atoms (fractional coordinates):
Tc: 0.000 0.000 0.000
Cl: 0.000 0.371 0.371
Cl: 0.000 0.629 0.629
Cl: 0.500 0.172 0.172
Cl: 0.500 0.503 0.503
Cl: 0.500 0.834 0.834

Calculated values
Space group ... Amm2
Spin magnetization ... 3.57 μB/cell

=====

*ii*
The following is a DFT calculation (PBE-GGA) of a relaxed structure of TcCl5.

Unit cell a=7.738 b=7.738 c=7.341 alpha=90.37 beta=90.37 gamma=22.55
Atoms (fractional coordinates):
Tc: 0.000 0.000 0.000
Cl: 0.222 0.222 0.471
Cl: 0.400 0.400 0.161
Cl: 0.579 0.579 0.797
Cl: 0.591 0.591 0.193
Cl: 0.895 0.895 0.780

Calculated values
Space group ... Cm
Spin magnetization ... 1.17 μB/cell

=====

Least stable = *i*

=====

*i*
The following is a DFT calculation (PBE-GGA) of a relaxed structure of TcCl5.

Unit cell a=5.714 b=5.714 c=5.714 alpha=60.00 beta=60.00 gamma=60.00
Atoms (fractional coordinates):
Tc: 0.000 0.000 0.000
Cl: 0.375 0.375 0.375
Cl: 0.375 0.375 0.876
Cl: 0.375 0.876 0.375
Cl: 0.750 0.750 0.750
Cl: 0.876 0.375 0.375

Calculated values
Space group ... F-43m
Spin magnetization ... 4.33 μB/cell

=====

*ii*
The following is a DFT calculation (PBE-GGA) of a relaxed structure of TcCl5.

Unit cell a=5.073 b=5.073 c=7.856 alpha=90.00 beta=90.00 gamma=120.00
Atoms (fractional coordinates):
Tc: 0.000 0.000 0.000
Cl: 0.000 0.500 0.500
Cl: 0.333 0.667 0.000
Cl: 0.500 0.000 0.500
Cl: 0.500 0.500 0.500
Cl: 0.667 0.333 0.000

Calculated values
Space group ... P6/mmm
Spin magnetization ... 4.79 μB/cell

=====

Least stable = *i*

=====

*i*
The following is a DFT calculation (PBE-GGA) of a relaxed structure of TcTe2Cl.

Unit cell a=6.706 b=6.706 c=6.363 alpha=117.67 beta=117.67 gamma=28.04
Atoms (fractional coordinates):
Tc: 0.000 0.000 0.000
Te: 0.333 0.333 0.962
Te: 0.486 0.486 0.663
Cl: 0.648 0.648 0.302

Calculated values
Space group ... Cm
Spin magnetization ... 0.00 μB/cell

=====

*ii*
The following is a DFT calculation (PBE-GGA) of a relaxed structure of TcTe2Cl.

Unit cell a=3.590 b=3.590 c=7.598 alpha=90.00 beta=90.00 gamma=90.00
Atoms (fractional coordinates):
Tc: 0.000 0.000 0.000
Te: 0.000 0.000 0.374
Te: 0.500 0.500 0.129
Cl: 0.500 0.500 0.740

Calculated values
Space group ... P4mm
Spin magnetization ... 0.00 μB/cell

=====

Least stable = *ii*

=====

*i*
The following is a DFT calculation (PBE-GGA) of a relaxed structure of TcTeCl.

Unit cell a=3.995 b=3.995 c=5.903 alpha=90.00 beta=90.00 gamma=120.00
Atoms (fractional coordinates):
Tc: 0.000 0.000 0.000
Te: 0.667 0.333 0.180
Cl: 0.333 0.667 0.748

Calculated values
Space group ... P3m1
Spin magnetization ... 0.00 μB/cell

=====

*ii*
The following is a DFT calculation (PBE-GGA) of a relaxed structure of TcTeCl.

Unit cell a=3.624 b=3.624 c=7.073 alpha=90.00 beta=90.00 gamma=120.00
Atoms (fractional coordinates):
Tc: 0.000 0.000 0.000
Te: 0.333 0.667 0.235
Cl: 0.667 0.333 0.784

Calculated values
Space group ... P3m1
Spin magnetization ... 2.00 μB/cell

=====

*iii*
The following is a DFT calculation (PBE-GGA) of a relaxed structure of TcTeCl.

Unit cell a=4.466 b=4.466 c=4.466 alpha=60.00 beta=60.00 gamma=60.00
Atoms (fractional coordinates):
Tc: 0.000 0.000 0.000
Te: 0.250 0.250 0.250
Cl: 0.750 0.750 0.750

Calculated values
Space group ... F-43m
Spin magnetization ... 0.00 μB/cell

=====

Least stable = *iii*

=====

*i*
The following is a DFT calculation (PBE-GGA) of a relaxed structure of TcTeCl.

Unit cell a=7.900 b=7.607 c=3.325 alpha=82.60 beta=72.72 gamma=24.67
Atoms (fractional coordinates):
Tc: 0.000 0.000 0.000
Te: 0.368 0.368 0.632
Cl: 0.618 0.618 0.382

Calculated values
Space group ... Fmm2
Spin magnetization ... 2.22 μB/cell

=====

*ii*
The following is a DFT calculation (PBE-GGA) of a relaxed structure of TcTeCl.

Unit cell a=7.202 b=7.202 c=7.202 alpha=154.47 beta=154.47 gamma=36.42
Atoms (fractional coordinates):
Tc: 0.000 0.000 0.000
Te: 0.615 0.615 0.000
Cl: 0.379 0.379 0.000

Calculated values
Space group ... I4mm
Spin magnetization ... 0.73 μB/cell

=====

Least stable = *i*

=====

*i*
The following is a DFT calculation (PBE-GGA) of a relaxed structure of TcTeCl3.

Unit cell a=5.477 b=5.477 c=5.477 alpha=90.00 beta=90.00 gamma=90.00
Atoms (fractional coordinates):
Tc: 0.000 0.000 0.000
Te: 0.500 0.500 0.500
Cl: 0.000 0.500 0.500
Cl: 0.500 0.000 0.500
Cl: 0.500 0.500 0.000

Calculated values
Space group ... Pm-3m
Spin magnetization ... 5.67 μB/cell

=====

*ii*
The following is a DFT calculation (PBE-GGA) of a relaxed structure of TcTeCl3.

Unit cell a=4.815 b=4.815 c=4.815 alpha=90.00 beta=90.00 gamma=90.00
Atoms (fractional coordinates):
Tc: 0.000 0.000 0.000
Te: 0.500 0.500 0.500
Cl: 0.000 0.000 0.500
Cl: 0.000 0.500 0.000
Cl: 0.500 0.000 0.000

Calculated values
Space group ... Pm-3m
Spin magnetization ... 0.00 μB/cell

=====

Least stable = *i*

=====

*i*
The following is a DFT calculation (PBE-GGA) of a relaxed structure of TiTcCl3.

Unit cell a=4.854 b=4.854 c=4.854 alpha=90.00 beta=90.00 gamma=90.00
Atoms (fractional coordinates):
Ti: 0.000 0.000 0.000
Tc: 0.500 0.500 0.500
Cl: 0.000 0.500 0.500
Cl: 0.500 0.000 0.500
Cl: 0.500 0.500 0.000

Calculated values
Space group ... Pm-3m
Spin magnetization ... 0.45 μB/cell

=====

*ii*
The following is a DFT calculation (PBE-GGA) of a relaxed structure of TiTcCl3.

Unit cell a=4.933 b=4.933 c=4.933 alpha=90.00 beta=90.00 gamma=90.00
Atoms (fractional coordinates):
Ti: 0.000 0.000 0.000
Tc: 0.500 0.500 0.500
Cl: 0.000 0.000 0.500
Cl: 0.000 0.500 0.000
Cl: 0.500 0.000 0.000

Calculated values
Space group ... Pm-3m
Spin magnetization ... 6.85 μB/cell

=====

Least stable = *i*

=====

*i*
The following is a DFT calculation (PBE-GGA) of a relaxed structure of Ti2TcCl.

Unit cell a=5.561 b=5.561 c=5.561 alpha=105.89 beta=105.89 gamma=116.91
Atoms (fractional coordinates):
Ti: 0.105 0.625 0.980
Ti: 0.375 0.355 0.480
Ti: 0.645 0.125 0.020
Ti: 0.875 0.895 0.520
Tc: 0.250 0.750 0.500
Tc: 0.500 0.500 0.000
Cl: 0.000 0.000 0.000
Cl: 0.750 0.250 0.500

Calculated values
Space group ... I-42d
Spin magnetization ... 0.00 μB/cell

=====

*ii*
The following is a DFT calculation (PBE-GGA) of a relaxed structure of Ti2TcCl.

Unit cell a=4.465 b=4.465 c=4.465 alpha=60.00 beta=60.00 gamma=60.00
Atoms (fractional coordinates):
Ti: 0.250 0.250 0.250
Ti: 0.750 0.750 0.750
Tc: 0.000 0.000 0.000
Cl: 0.500 0.500 0.500

Calculated values
Space group ... Fm-3m
Spin magnetization ... 0.00 μB/cell

=====

Least stable = *ii*